1.
DFT (PBE) results for SrAl2Tl after structural relaxation.

a = 4.534 Å, b = 3.643 Å, c = 6.800 Å
α = 75.14°, β = 90.00°, γ = 90.00°
Atoms (fractional coordinates):
Al 0.000 0.183 0.004
Tl 0.500 0.781 0.813
Sr 0.000 0.456 0.470
Al 0.500 0.080 0.213

Calculated values
Energy in eV for the cell shown: -11.64
Formation energy in eV per atom: -0.0262



2.
DFT (PBE) results for SrCa2Co after structural relaxation.

a = 3.649 Å, b = 3.649 Å, c = 9.738 Å
α = 90.00°, β = 90.00°, γ = 90.00°
Each line ends with the local moment (μB).
Atoms (fractional coordinates):
Sr 0.500 0.500 0.750  0.02
Ca 0.000 0.000 0.084  -0.07
Ca 0.000 0.000 0.416  -0.07
Co 0.500 0.500 0.250  1.23

Calculated values
Energy in eV for the cell shown: -11.77
Formation energy in eV per atom: 0.2545



3.
DFT (PBE) results for Y8CSe6 after structural relaxation.

a = 4.116 Å, b = 10.201 Å, c = 10.201 Å
α = 120.00°, β = 90.00°, γ = 90.00°
Atoms (fractional coordinates):
Se 0.245 0.128 0.466
Se 0.755 0.872 0.534
C 0.500 0.000 0.000
Y 0.743 0.333 0.667
Y 0.265 0.016 0.751
Y 0.265 0.249 0.265
Y 0.735 0.751 0.735
Y 0.265 0.735 0.984
Y 0.257 0.667 0.333
Se 0.755 0.661 0.128
Se 0.755 0.466 0.339
Y 0.735 0.984 0.249
Se 0.245 0.534 0.661
Y 0.735 0.265 0.016
Se 0.245 0.339 0.872

Calculated values
Energy in eV for the cell shown: -97.09



4.
DFT (PBE) results for Tb2SmHo4 after structural relaxation.

a = 3.522 Å, b = 9.407 Å, c = 8.508 Å
α = 121.69°, β = 78.08°, γ = 111.96°
Atoms (fractional coordinates):
Sm 0.000 0.000 0.000
Ho 0.807 0.163 0.714
Tb 0.640 0.570 0.860
Ho 0.193 0.837 0.286
Ho 0.589 0.294 0.411
Tb 0.360 0.430 0.140
Ho 0.411 0.706 0.589

Calculated values
Energy in eV for the cell shown: -32.03
Formation energy in eV per atom: 0.0373



Question: energy of number 2 (SrCa2Co)?
Answer: -11.77 eV for the cell shown